Version i
{
  "formula": "Mn3NiCl",
  "functional": "PBE",
  "state": "optimized geometry",
  "lattice": [[4.0299, 0.0000, 0.0000], [0.0000, 4.0299, 0.0000], [0.0000, 0.0000, 4.0299]],
  "species": ["Mn", "Mn", "Mn", "Ni", "Cl"],
  "frac_coords": [[0.0000, 0.0000, 0.5000], [0.0000, 0.5000, 0.0000], [0.5000, 0.0000, 0.0000], [0.5000, 0.5000, 0.5000], [0.0000, 0.0000, 0.0000]]
}

***

Version ii
{
  "formula": "Mn3NiCl",
  "functional": "PBE",
  "state": "optimized geometry",
  "lattice": [[4.6233, 0.0000, 0.0000], [0.0000, 4.6233, 0.0000], [0.0000, 0.0000, 4.6233]],
  "species": ["Mn", "Mn", "Mn", "Ni", "Cl"],
  "frac_coords": [[0.0000, 0.0000, 0.5000], [0.0000, 0.5000, 0.0000], [0.5000, 0.0000, 0.0000], [0.0000, 0.0000, 0.0000], [0.5000, 0.5000, 0.5000]]
}

***

Name the least stable of them. version i.

***

Version i
{
  "formula": "MnNiPCl2",
  "functional": "PBE",
  "state": "optimized geometry",
  "lattice": [[4.5083, 0.0000, 0.0000], [0.0000, 4.5083, 0.0000], [0.0000, 0.0000, 4.7325]],
  "species": ["Mn", "Ni", "P", "Cl", "Cl"],
  "frac_coords": [[0.0000, 0.0000, 0.0000], [0.5000, 0.5000, 0.5000], [0.5000, 0.5000, 0.0000], [0.0000, 0.5000, 0.5000], [0.5000, 0.0000, 0.5000]]
}

***

Version ii
{
  "formula": "MnNiPCl2",
  "functional": "PBE",
  "state": "optimized geometry",
  "lattice": [[4.5582, 0.0000, 0.0000], [0.0000, 4.5582, 0.0000], [0.0000, 0.0000, 4.9598]],
  "species": ["Mn", "Ni", "P", "Cl", "Cl"],
  "frac_coords": [[0.0000, 0.0000, 0.0000], [0.5000, 0.5000, 0.5000], [0.0000, 0.0000, 0.5000], [0.0000, 0.5000, 0.0000], [0.5000, 0.0000, 0.0000]]
}

***

Name the least stable of them. version ii.

***

Version i
{
  "formula": "MnNiSCl2",
  "functional": "PBE",
  "state": "optimized geometry",
  "lattice": [[4.4731, 0.0000, 0.0000], [0.0000, 4.4731, 0.0000], [0.0000, 0.0000, 4.7760]],
  "species": ["Mn", "Ni", "S", "Cl", "Cl"],
  "frac_coords": [[0.0000, 0.0000, 0.0000], [0.5000, 0.5000, 0.5000], [0.5000, 0.5000, 0.0000], [0.0000, 0.5000, 0.5000], [0.5000, 0.0000, 0.5000]]
}

***

Version ii
{
  "formula": "MnNiSCl2",
  "functional": "PBE",
  "state": "optimized geometry",
  "lattice": [[4.6329, 0.0000, 0.0000], [0.0000, 4.6329, 0.0000], [0.0000, 0.0000, 4.9231]],
  "species": ["Mn", "Ni", "S", "Cl", "Cl"],
  "frac_coords": [[0.0000, 0.0000, 0.0000], [0.5000, 0.5000, 0.5000], [0.0000, 0.0000, 0.5000], [0.0000, 0.5000, 0.0000], [0.5000, 0.0000, 0.0000]]
}

***

Name the least stable of them. version ii.

***

Version i
{
  "formula": "MnNiS2Cl",
  "functional": "PBE",
  "state": "optimized geometry",
  "lattice": [[4.5854, 0.0000, 0.0000], [0.0000, 4.5854, 0.0000], [0.0000, 0.0000, 4.6211]],
  "species": ["Mn", "Ni", "S", "S", "Cl"],
  "frac_coords": [[0.0000, 0.0000, 0.0000], [0.5000, 0.5000, 0.5000], [0.0000, 0.5000, 0.0000], [0.5000, 0.0000, 0.0000], [0.0000, 0.0000, 0.5000]]
}

***

Version ii
{
  "formula": "MnNiS2Cl",
  "functional": "PBE",
  "state": "optimized geometry",
  "lattice": [[4.4982, 0.0000, 0.0000], [0.0000, 4.4982, 0.0000], [0.0000, 0.0000, 4.5508]],
  "species": ["Mn", "Ni", "S", "S", "Cl"],
  "frac_coords": [[0.0000, 0.0000, 0.0000], [0.5000, 0.5000, 0.5000], [0.0000, 0.5000, 0.5000], [0.5000, 0.0000, 0.5000], [0.5000, 0.5000, 0.0000]]
}

***

Name the least stable of them. version i.